{
  "formula": "Na2CoCl2",
  "functional": "GGA-PBE",
  "state": "relaxed",
  "lattice_angstrom": [[7.169, 0.000, 0.000], [0.000, 7.169, 0.000], [0.000, 0.000, 3.846]],
  "species": ["Na", "Na", "Na", "Na", "Co", "Co", "Cl", "Cl", "Cl", "Cl"],
  "frac_coords": [[0.847, 0.347, 0.500], [0.153, 0.653, 0.500], [0.653, 0.847, 0.500], [0.347, 0.153, 0.500], [0.000, 0.000, 0.000], [0.500, 0.500, 0.000], [0.335, 0.835, 0.000], [0.165, 0.335, 0.000], [0.665, 0.165, 0.000], [0.835, 0.665, 0.000]],
  "spacegroup": "P4/mbm",
  "relative_energy_mev_per_atom": 100,
  "final_energy_ev_per_cell": -32.7,
  "volume_a3_per_atom": 19.77,
  "total_magnetization_mub_per_atom": 0.280,
  "formation_energy_uncorrected_ev_per_atom": -0.581
}